The following is a PBE calculation of an optimized crystal structure of NdSmCu, from Alexandria via LeMat-Bulk.

The structure in POSCAR format:
```
NdSmCu
1.0
5.0143 0.0000 0.0000
0.0000 8.9556 0.0000
0.0000 0.0000 7.1042
Nd Sm Cu
4 4 4
Direct
0.2500 0.8262 0.4899
0.7500 0.3262 0.0101
0.2500 0.6738 0.9899
0.7500 0.1738 0.5101
0.7500 0.9120 0.1423
0.7500 0.5880 0.6423
0.2500 0.0880 0.8577
0.2500 0.4120 0.3577
0.7500 0.5969 0.2430
0.7500 0.9031 0.7430
0.2500 0.0969 0.2570
0.2500 0.4031 0.7570
```

Summary:
Calculated formation energy (eV per formula unit): -0.32
Volume (Å³/atom): 26.586
E (eV/cell): -55.60

***

The following is a PBE calculation of an optimized crystal structure of AcHg2F8, from Alexandria via LeMat-Bulk.

The structure in POSCAR format:
```
AcHg2F8
1.0
-0.1132 -0.4375 5.8447
5.5972 -1.7423 -0.0220
-0.9835 6.7334 -2.4548
Ac Hg F
1 2 8
Direct
0.5000 0.5000 0.0000
0.7500 0.2500 0.5000
0.2500 0.7500 0.5000
0.8118 0.3413 0.2587
0.0826 0.5531 0.7413
0.6587 0.1882 0.7413
0.1882 0.0826 0.7413
0.4469 0.9174 0.2587
0.9174 0.8118 0.2587
0.3413 0.4469 0.2587
0.5531 0.6587 0.7413
```

Summary:
Energy relative to the elements, uncorrected (kJ per mole of atoms): -219.10
Volume (Å³/atom): 18.522
E (eV/cell): -44.66

***

The following is a PBE calculation of an optimized crystal structure of Ca2SmPaSb4, from Alexandria via LeMat-Bulk.

The structure in POSCAR format:
```
Ca2SmPaSb4
1.0
4.4991 0.0000 0.0000
0.0000 7.7384 0.1369
0.0000 -2.6973 7.2631
Ca Sm Pa Sb
2 1 1 4
Direct
0.5000 0.0000 0.5000
0.0000 0.5000 0.5000
0.5000 0.5000 0.0000
0.0000 0.0000 0.0000
0.5000 0.2374 0.2353
0.5000 0.7627 0.7647
0.0000 0.2439 0.7613
0.0000 0.7561 0.2387
```

Summary:
Energy relative to the elements, uncorrected (kJ per mole of atoms): -87.47
Volume (Å³/atom): 31.817
E (eV/cell): -41.96